{
  "formula": "ZrHg3I",
  "functional": "GGA-PBE",
  "state": "optimized geometry",
  "cell": [[5.729, 0.000, 0.000], [0.000, 5.729, 0.000], [0.000, 0.000, 5.729]],
  "species": ["I", "Zr", "Hg", "Hg", "Hg"],
  "frac_coords": [[0.500, 0.500, 0.500], [0.000, 0.000, 0.000], [0.000, 0.000, 0.500], [0.500, 0.000, 0.000], [0.000, 0.500, 0.000]],
  "sg": "No. 221",
  "e_form_raw_ev_per_atom": 0.353,
  "total_energy_ry_per_atom": -0.13582,
  "dos_at_fermi_per_ev_fu": 3.4,
  "polymorph_energy_mev_per_atom": 0.0
}

{
  "formula": "Ba4NiOs",
  "functional": "GGA-PBE",
  "state": "optimized geometry",
  "cell": [[6.656, -0.561, 0.463], [2.700, -4.927, 3.643], [3.152, -5.068, -3.037]],
  "species": ["Ni", "Ba", "Ba", "Ba", "Ba", "Os"],
  "frac_coords": [[0.750, 0.750, 0.750], [0.876, 0.375, 0.375], [0.375, 0.375, 0.375], [0.375, 0.375, 0.876], [0.375, 0.876, 0.375], [0.000, 0.000, 0.000]],
  "sg": "No. 216",
  "formation_enthalpy_0k_ev_per_atom": 1.49,
  "total_energy_ry_per_atom": -0.19282,
  "dos_at_fermi_per_ev_fu": 12.0
}

{
  "formula": "AcIn5Pd",
  "functional": "GGA-PBE",
  "state": "optimized geometry",
  "cell": [[-2.961, 0.741, 3.790], [-0.032, -4.780, 0.910], [6.196, 0.848, 4.675]],
  "species": ["In", "In", "In", "In", "In", "Pd", "Ac"],
  "frac_coords": [[0.000, 0.500, 0.308], [0.500, 0.000, 0.308], [0.000, 0.500, 0.692], [0.500, 0.500, 0.000], [0.500, 0.000, 0.692], [0.000, 0.000, 0.500], [0.000, 0.000, 0.000]],
  "sg": "No. 123",
  "formation_enthalpy_0k_ev_per_atom": -0.40,
  "total_energy_ry_per_atom": -0.27105,
  "dos_at_fermi_per_ev_fu": 4.6
}

{
  "formula": "YHfAg2W",
  "functional": "GGA-PBE",
  "state": "optimized geometry",
  "cell": [[-3.092, -0.745, 3.792], [3.233, -3.781, 1.893], [2.428, 3.403, 2.649]],
  "species": ["W", "Hf", "Ag", "Ag", "Y"],
  "frac_coords": [[0.500, 0.500, 0.500], [0.000, 0.000, 0.000], [0.000, 0.000, 0.500], [0.500, 0.000, 0.000], [0.000, 0.500, 0.000]],
  "sg": "No. 123",
  "formation_enthalpy_0k_ev_per_atom": 2.03,
  "total_energy_ry_per_atom": -0.36648,
  "dos_at_fermi_per_ev_fu": 5.2
}